Here is a relaxed Sm3BiSe6 crystal from Alexandria. Energies are from PBE.

Unit cell a=7.227 b=9.091 c=9.091 alpha=103.13 beta=90.00 gamma=90.00
Element x y z (fractional)
Se1 0.207 0.096 0.560
Se2 0.246 0.007 0.993
Se3 0.119 0.768 0.232
Se4 0.619 0.232 0.768
Se5 0.179 0.698 0.632
Se6 0.707 0.560 0.096
Se7 0.207 0.440 0.904
Se8 0.746 0.993 0.007
Se9 0.179 0.368 0.302
Se10 0.679 0.302 0.368
Se11 0.707 0.904 0.440
Se12 0.679 0.632 0.698
Bi1 0.000 0.179 0.821
Bi2 0.500 0.821 0.179
Sm1 0.484 0.915 0.716
Sm2 0.382 0.406 0.594
Sm3 0.984 0.085 0.284
Sm4 0.882 0.594 0.406
Sm5 0.484 0.284 0.085
Sm6 0.984 0.716 0.915

Summary:
Total DFT energy (no corrections) in eV per atom: -5.361